A plane-wave DFT calculation with PBE-GGA was carried out for a relaxed Ce5Th2In2 crystal.

Crystal system = triclinic
Space-group type = P-1
Offset from the most stable computed form = 0.00 kcal/mol of atoms

a b c (Å): 3.3531 8.7724 8.8585
angles (deg): 81.75 90.00 79.21
Last column: nearest neighbours and their distance in Å.
Fractional positions:
Ce (0.0000, 0.0000, 0.0000)  2 Th 3.20, 2 Ce 3.35, 4 In 3.38-3.39
Ce (0.1508, 0.6947, 0.5923)  2 Ce 2.99-3.00, 1 Th 3.28
Ce (0.3384, 0.3338, 0.1252)  2 Ce 2.99-3.00, 1 Th 3.18
Ce (0.6616, 0.6662, 0.8748)  2 Ce 2.99-3.00, 1 Th 3.18
Ce (0.8492, 0.3053, 0.4077)  2 Ce 2.99-3.00, 1 Th 3.28
Th (0.1605, 0.6735, 0.2255)  5 Ce 3.18-3.54, 2 Th 3.35, 2 In 3.36
Th (0.8395, 0.3265, 0.7745)  5 Ce 3.18-3.54, 2 Th 3.35, 2 In 3.36
In (0.4877, 0.0235, 0.6653)  3 In 3.02-3.35, 1 Ce 3.35, 2 Th 3.36
In (0.5123, 0.9765, 0.3347)  3 In 3.02-3.35, 1 Ce 3.35, 2 Th 3.36

---

A plane-wave DFT calculation with PBE-GGA was carried out for a relaxed ThCdPd14 crystal.

Crystal system = tetragonal
Space-group type = P4/mmm
E_tot = -5.371 eV per atom

a b c (Å): 5.7781 5.7781 7.8937
angles (deg): 90.00 90.00 90.00
Last column: nearest neighbours and their distance in Å.
Fractional positions:
Th (0.0000, 0.0000, 0.0000)  12 Pd 2.89
Cd (0.5000, 0.5000, 0.0000)  12 Pd 2.88-2.89
Pd (0.0000, 0.0000, 0.5000)  12 Pd 2.81-2.89
Pd (0.0000, 0.5000, 0.0000)  8 Pd 2.88, 2 Cd 2.89, 2 Th 2.89
Pd (0.0000, 0.5000, 0.5000)  12 Pd 2.80-2.89
Pd (0.2511, 0.2511, 0.2576)  10 Pd 2.79-2.90, 1 Cd 2.88, 1 Th 2.89
Pd (0.2511, 0.2511, 0.7424)  10 Pd 2.79-2.90, 1 Cd 2.88, 1 Th 2.89
Pd (0.2511, 0.7489, 0.2576)  10 Pd 2.79-2.90, 1 Cd 2.88, 1 Th 2.89
Pd (0.2511, 0.7489, 0.7424)  10 Pd 2.79-2.90, 1 Cd 2.88, 1 Th 2.89
Pd (0.5000, 0.0000, 0.0000)  8 Pd 2.88, 2 Cd 2.89, 2 Th 2.89
Pd (0.5000, 0.0000, 0.5000)  12 Pd 2.80-2.89
Pd (0.5000, 0.5000, 0.5000)  12 Pd 2.79-2.89
Pd (0.7489, 0.2511, 0.2576)  10 Pd 2.79-2.90, 1 Cd 2.88, 1 Th 2.89
Pd (0.7489, 0.2511, 0.7424)  10 Pd 2.79-2.90, 1 Cd 2.88, 1 Th 2.89
Pd (0.7489, 0.7489, 0.2576)  10 Pd 2.79-2.90, 1 Cd 2.88, 1 Th 2.89
Pd (0.7489, 0.7489, 0.7424)  10 Pd 2.79-2.90, 1 Cd 2.88, 1 Th 2.89

---

A plane-wave DFT calculation with PBE-GGA was carried out for a relaxed Ti3PtN crystal.

Formation energy from raw total energies = -0.93 eV per atom
Crystal system = orthorhombic
Space-group type = Cmce

a b c (Å): 7.4513 7.4513 5.2641
angles (deg): 90.00 90.00 106.35
Last column: nearest neighbours and their distance in Å.
Fractional positions:
Ti (0.0551, 0.9449, 0.7910)  2 N 2.06-2.09
Ti (0.1534, 0.3466, 0.7500)  2 N 2.29
Ti (0.2288, 0.7712, 0.4704)  2 N 2.10-2.11
Ti (0.2712, 0.7288, 0.9704)  2 N 2.10-2.11
Ti (0.3466, 0.1534, 0.2500)  2 N 2.29
Ti (0.4449, 0.5551, 0.2910)  2 N 2.06-2.09
Ti (0.5551, 0.4449, 0.7090)  2 N 2.06-2.09
Ti (0.6534, 0.8466, 0.7500)  2 N 2.29
Ti (0.7288, 0.2712, 0.0296)  2 N 2.10-2.11
Ti (0.7712, 0.2288, 0.5296)  2 N 2.10-2.11
Ti (0.8466, 0.6534, 0.2500)  2 N 2.29
Ti (0.9449, 0.0551, 0.2090)  2 N 2.06-2.09
Pt (0.0821, 0.4179, 0.2500)  9 Ti 2.62-2.81
Pt (0.4179, 0.0821, 0.7500)  9 Ti 2.62-2.81
Pt (0.5821, 0.9179, 0.2500)  9 Ti 2.62-2.81
Pt (0.9179, 0.5821, 0.7500)  9 Ti 2.62-2.81
N (0.1160, 0.8840, 0.1633)  6 Ti 2.06-2.29
N (0.3840, 0.6160, 0.6633)  6 Ti 2.06-2.29
N (0.6160, 0.3840, 0.3367)  6 Ti 2.06-2.29
N (0.8840, 0.1160, 0.8367)  6 Ti 2.06-2.29

---

A plane-wave DFT calculation with PBE-GGA was carried out for a relaxed La7AsS5 crystal.

Formation energy from raw total energies = -1.88 eV per atom
Crystal system = monoclinic
Space-group type = P2_1/m

a b c (Å): 4.1478 24.3755 7.1854
angles (deg): 90.00 106.71 90.00
Last column: nearest neighbours and their distance in Å.
Fractional positions:
La (0.0310, 0.2500, 0.0616)  2 S 2.84, 2 As 3.02
La (0.1377, 0.5365, 0.2753)  6 S 2.86-2.95
La (0.1377, 0.9635, 0.2753)  6 S 2.86-2.95
La (0.3115, 0.1805, 0.6230)  3 S 2.88-2.97, 2 As 3.16
La (0.3115, 0.3195, 0.6230)  3 S 2.88-2.97, 2 As 3.16
La (0.4084, 0.6126, 0.8170)  5 S 2.93-3.02
La (0.4084, 0.8874, 0.8170)  5 S 2.93-3.02
La (0.5916, 0.1126, 0.1830)  5 S 2.93-3.02
La (0.5916, 0.3874, 0.1830)  5 S 2.93-3.02
La (0.6885, 0.6805, 0.3770)  3 S 2.88-2.97, 2 As 3.16
La (0.6885, 0.8195, 0.3770)  3 S 2.88-2.97, 2 As 3.16
La (0.8623, 0.0365, 0.7247)  6 S 2.86-2.95
La (0.8623, 0.4635, 0.7247)  6 S 2.86-2.95
La (0.9690, 0.7500, 0.9384)  2 S 2.84, 2 As 3.02
As (0.3100, 0.7500, 0.6200)  6 La 3.02-3.16
As (0.6900, 0.2500, 0.3800)  6 La 3.02-3.16
S (0.0497, 0.6429, 0.0994)  6 La 2.84-2.97
S (0.0497, 0.8571, 0.0994)  6 La 2.84-2.97
S (0.2266, 0.0726, 0.4535)  6 La 2.88-2.95
S (0.2266, 0.4274, 0.4535)  6 La 2.88-2.95
S (0.5000, 0.0000, 0.0000)  6 La 2.94-3.02
S (0.5000, 0.5000, 0.0000)  6 La 2.94-3.02
S (0.7734, 0.5726, 0.5465)  6 La 2.88-2.95
S (0.7734, 0.9274, 0.5465)  6 La 2.88-2.95
S (0.9503, 0.1429, 0.9006)  6 La 2.84-2.97
S (0.9503, 0.3571, 0.9006)  6 La 2.84-2.97